Hf3AsN | GGA-PBE | optimized geometry

The structure belongs to space group Pm-3m (No. 221); the cell edges are 4.4007, 4.4007 and 4.4007 Å and the angles 90.00°, 90.00° and 90.00°. The distinct sites, in fractional coordinates, are Hf at (0.0000, 0.0000, 0.5000), As at (0.5000, 0.5000, 0.5000) and N at (0.0000, 0.0000, 0.0000).

The uncorrected formation energy comes out at -0.647 eV per atom. The density of states at the Fermi level comes out at 1.2810 states/eV/atom.